Material: LaYP3
Method: DFT, GGA-PBE
State: relaxed

Output
Relative energy among the computed polymorphs (kJ/mol of atoms): 50.1
Magnetic moment (μB per cell): 0.0
Energy of formation from the pure elements (eV/f.u.): 0.98

Structure (CIF):
```
data_LaYP3
_chemical_formula_sum 'La1 Y1 P3'
_cell_length_a 5.217
_cell_length_b 5.217
_cell_length_c 5.217
_cell_angle_alpha 90.00
_cell_angle_beta 90.00
_cell_angle_gamma 90.00
_symmetry_space_group_name_H-M 'P m -3 m'
_symmetry_Int_Tables_number 221
_symmetry_space_group_name_Hall '-P 4 2 3'
loop_
_atom_site_label
_atom_site_type_symbol
_atom_site_fract_x
_atom_site_fract_y
_atom_site_fract_z
_atom_site_occupancy
La1 La 0.000 0.000 0.000 1
Y1 Y 0.500 0.500 0.500 1
P1 P 0.000 0.000 0.500 1
```